i:
VASP calculation (GGA-PBE) on a geometry-optimized CdTc2Sb structure.

```
data_CdTc2Sb
_chemical_formula_sum 'Cd1 Tc2 Sb1'
_cell_length_a 3.1766
_cell_length_b 4.5227
_cell_length_c 5.0041
_cell_angle_alpha 90.00
_cell_angle_beta 90.00
_cell_angle_gamma 90.00
_symmetry_space_group_name_H-M 'P m m m'
_symmetry_Int_Tables_number 47
loop_
_symmetry_equiv_pos_as_xyz
'x,y,z'
'-x,-y,-z'
'-x,-y,z'
'x,y,-z'
'x,-y,-z'
'-x,y,z'
'-x,y,-z'
'x,-y,z'
loop_
_atom_site_label
_atom_site_type_symbol
_atom_site_fract_x
_atom_site_fract_y
_atom_site_fract_z
_atom_site_occupancy
Cd1 Cd 0.0000 0.0000 0.0000 1
Tc1 Tc 0.0000 0.5000 0.5000 1
Tc2 Tc 0.5000 0.5000 0.0000 1
Sb1 Sb 0.5000 0.0000 0.5000 1
```

- spin magnetization (μB/cell) = 1.23
- mass density (g/cm³) = 9.94


ii:
VASP calculation (GGA-PBE) on a geometry-optimized CdTc2Sb structure.

```
data_CdTc2Sb
_chemical_formula_sum 'Cd4 Tc8 Sb4'
_cell_length_a 6.4900
_cell_length_b 6.4900
_cell_length_c 6.4900
_cell_angle_alpha 90.00
_cell_angle_beta 90.00
_cell_angle_gamma 90.00
_symmetry_space_group_name_H-M 'F m -3 m'
_symmetry_Int_Tables_number 225
_symmetry_space_group_name_Hall '-F 4 2 3'
loop_
_atom_site_label
_atom_site_type_symbol
_atom_site_fract_x
_atom_site_fract_y
_atom_site_fract_z
_atom_site_occupancy
Cd1 Cd 0.0000 0.0000 0.0000 1
Tc1 Tc 0.2500 0.2500 0.2500 1
Sb1 Sb 0.0000 0.0000 0.5000 1
```

- spin magnetization (μB/cell) = 0.00
- mass density (g/cm³) = 10.45


Short version: i is the least stable of them.


i:
VASP calculation (GGA-PBE) on a geometry-optimized CdTc2Sb2 structure.

```
data_CdTc2Sb2
_chemical_formula_sum 'Cd2 Tc4 Sb4'
_cell_length_a 4.3920
_cell_length_b 4.3920
_cell_length_c 11.1702
_cell_angle_alpha 90.00
_cell_angle_beta 90.00
_cell_angle_gamma 90.00
_symmetry_space_group_name_H-M 'I 4/m m m'
_symmetry_Int_Tables_number 139
_symmetry_space_group_name_Hall '-I 4 2'
loop_
_atom_site_label
_atom_site_type_symbol
_atom_site_fract_x
_atom_site_fract_y
_atom_site_fract_z
_atom_site_occupancy
Cd1 Cd 0.0000 0.0000 0.0000 1
Tc1 Tc 0.0000 0.0000 0.3903 1
Sb1 Sb 0.0000 0.5000 0.2500 1
```

- spin magnetization (μB/cell) = 0.00
- mass density (g/cm³) = 8.51


ii:
VASP calculation (GGA-PBE) on a geometry-optimized CdTc2Sb2 structure.

```
data_CdTc2Sb2
_chemical_formula_sum 'Cd2 Tc4 Sb4'
_cell_length_a 7.6147
_cell_length_b 7.6147
_cell_length_c 3.2852
_cell_angle_alpha 90.00
_cell_angle_beta 90.00
_cell_angle_gamma 90.00
_symmetry_space_group_name_H-M 'P 4/m b m'
_symmetry_Int_Tables_number 127
_symmetry_space_group_name_Hall '-P 4 2ab'
loop_
_atom_site_label
_atom_site_type_symbol
_atom_site_fract_x
_atom_site_fract_y
_atom_site_fract_z
_atom_site_occupancy
Cd1 Cd 0.0000 0.0000 0.0000 1
Tc1 Tc 0.1434 0.3566 0.0000 1
Sb1 Sb 0.1517 0.6517 0.5000 1
```

- spin magnetization (μB/cell) = 0.00
- mass density (g/cm³) = 9.62


Short version: i is the least stable of them.


i:
VASP calculation (GGA-PBE) on a geometry-optimized Cd2TcSb2 structure.

```
data_Cd2TcSb2
_chemical_formula_sum 'Cd4 Tc2 Sb4'
_cell_length_a 6.9433
_cell_length_b 6.9433
_cell_length_c 4.9113
_cell_angle_alpha 90.00
_cell_angle_beta 90.00
_cell_angle_gamma 90.00
_symmetry_space_group_name_H-M 'P 4/m b m'
_symmetry_Int_Tables_number 127
_symmetry_space_group_name_Hall '-P 4 2ab'
loop_
_atom_site_label
_atom_site_type_symbol
_atom_site_fract_x
_atom_site_fract_y
_atom_site_fract_z
_atom_site_occupancy
Cd1 Cd 0.1683 0.3317 0.0000 1
Tc1 Tc 0.0000 0.0000 0.5000 1
Sb1 Sb 0.1500 0.6500 0.5000 1
```

- spin magnetization (μB/cell) = 1.50
- mass density (g/cm³) = 7.94


ii:
VASP calculation (GGA-PBE) on a geometry-optimized Cd2TcSb2 structure.

```
data_Cd2TcSb2
_chemical_formula_sum 'Cd4 Tc2 Sb4'
_cell_length_a 3.6175
_cell_length_b 3.6175
_cell_length_c 19.2067
_cell_angle_alpha 90.00
_cell_angle_beta 90.00
_cell_angle_gamma 90.00
_symmetry_space_group_name_H-M 'I 4/m m m'
_symmetry_Int_Tables_number 139
_symmetry_space_group_name_Hall '-I 4 2'
loop_
_atom_site_label
_atom_site_type_symbol
_atom_site_fract_x
_atom_site_fract_y
_atom_site_fract_z
_atom_site_occupancy
Cd1 Cd 0.0000 0.5000 0.2500 1
Tc1 Tc 0.0000 0.0000 0.0000 1
Sb1 Sb 0.0000 0.0000 0.4206 1
```

- spin magnetization (μB/cell) = 0.00
- mass density (g/cm³) = 7.48


Short version: ii is the least stable of them.


i:
VASP calculation (GGA-PBE) on a geometry-optimized CdTcSbTe2 structure.

```
data_CdTcSbTe2
_chemical_formula_sum 'Cd1 Tc1 Sb1 Te2'
_cell_length_a 5.3263
_cell_length_b 5.3263
_cell_length_c 5.1414
_cell_angle_alpha 90.00
_cell_angle_beta 90.00
_cell_angle_gamma 90.00
_symmetry_space_group_name_H-M 'P 4/m m m'
_symmetry_Int_Tables_number 123
_symmetry_space_group_name_Hall '-P 4 2'
loop_
_atom_site_label
_atom_site_type_symbol
_atom_site_fract_x
_atom_site_fract_y
_atom_site_fract_z
_atom_site_occupancy
Cd1 Cd 0.0000 0.0000 0.0000 1
Tc1 Tc 0.5000 0.5000 0.5000 1
Sb1 Sb 0.5000 0.5000 0.0000 1
Te1 Te 0.0000 0.5000 0.5000 1
```

- spin magnetization (μB/cell) = 0.00
- mass density (g/cm³) = 6.69


ii:
VASP calculation (GGA-PBE) on a geometry-optimized CdTcSbTe2 structure.

```
data_CdTcSbTe2
_chemical_formula_sum 'Cd1 Tc1 Sb1 Te2'
_cell_length_a 5.5790
_cell_length_b 5.5790
_cell_length_c 5.4240
_cell_angle_alpha 90.00
_cell_angle_beta 90.00
_cell_angle_gamma 90.00
_symmetry_space_group_name_H-M 'P 4/m m m'
_symmetry_Int_Tables_number 123
_symmetry_space_group_name_Hall '-P 4 2'
loop_
_atom_site_label
_atom_site_type_symbol
_atom_site_fract_x
_atom_site_fract_y
_atom_site_fract_z
_atom_site_occupancy
Cd1 Cd 0.0000 0.0000 0.0000 1
Tc1 Tc 0.5000 0.5000 0.5000 1
Sb1 Sb 0.0000 0.0000 0.5000 1
Te1 Te 0.0000 0.5000 0.0000 1
```

- spin magnetization (μB/cell) = 3.78
- mass density (g/cm³) = 5.78


Short version: ii is the least stable of them.


i:
VASP calculation (GGA-PBE) on a geometry-optimized CdSb2Te structure.

```
data_CdSb2Te
_chemical_formula_sum 'Cd1 Sb2 Te1'
_cell_length_a 3.8372
_cell_length_b 5.0357
_cell_length_c 5.6698
_cell_angle_alpha 90.00
_cell_angle_beta 90.00
_cell_angle_gamma 90.00
_symmetry_space_group_name_H-M 'P m m m'
_symmetry_Int_Tables_number 47
loop_
_symmetry_equiv_pos_as_xyz
'x,y,z'
'-x,-y,-z'
'-x,-y,z'
'x,y,-z'
'x,-y,-z'
'-x,y,z'
'-x,y,-z'
'x,-y,z'
loop_
_atom_site_label
_atom_site_type_symbol
_atom_site_fract_x
_atom_site_fract_y
_atom_site_fract_z
_atom_site_occupancy
Cd1 Cd 0.0000 0.0000 0.0000 1
Sb1 Sb 0.0000 0.5000 0.5000 1
Sb2 Sb 0.5000 0.5000 0.0000 1
Te1 Te 0.5000 0.0000 0.5000 1
```

- spin magnetization (μB/cell) = 0.00
- mass density (g/cm³) = 7.33


ii:
VASP calculation (GGA-PBE) on a geometry-optimized CdSb2Te structure.

```
data_CdSb2Te
_chemical_formula_sum 'Cd4 Sb8 Te4'
_cell_length_a 7.5599
_cell_length_b 7.5599
_cell_length_c 7.5599
_cell_angle_alpha 90.00
_cell_angle_beta 90.00
_cell_angle_gamma 90.00
_symmetry_space_group_name_H-M 'F m -3 m'
_symmetry_Int_Tables_number 225
_symmetry_space_group_name_Hall '-F 4 2 3'
loop_
_atom_site_label
_atom_site_type_symbol
_atom_site_fract_x
_atom_site_fract_y
_atom_site_fract_z
_atom_site_occupancy
Cd1 Cd 0.0000 0.0000 0.0000 1
Sb1 Sb 0.2500 0.2500 0.2500 1
Te1 Te 0.0000 0.0000 0.5000 1
```

- spin magnetization (μB/cell) = 0.00
- mass density (g/cm³) = 7.43


iii:
VASP calculation (GGA-PBE) on a geometry-optimized CdSb2Te structure.

```
data_CdSb2Te
_chemical_formula_sum 'Cd2 Sb4 Te2'
_cell_length_a 3.9974
_cell_length_b 4.9926
_cell_length_c 11.0454
_cell_angle_alpha 90.00
_cell_angle_beta 90.00
_cell_angle_gamma 90.00
_symmetry_space_group_name_H-M 'C m m m'
_symmetry_Int_Tables_number 65
_symmetry_space_group_name_Hall '-C 2 2'
loop_
_atom_site_label
_atom_site_type_symbol
_atom_site_fract_x
_atom_site_fract_y
_atom_site_fract_z
_atom_site_occupancy
Cd1 Cd 0.0000 0.0000 0.0000 1
Sb1 Sb 0.0000 0.5000 0.2182 1
Te1 Te 0.0000 0.0000 0.5000 1
```

- spin magnetization (μB/cell) = 0.00
- mass density (g/cm³) = 7.28


Short version: ii is the least stable of them.


i:
VASP calculation (GGA-PBE) on a geometry-optimized CdSb2Te structure.

```
data_CdSb2Te
_chemical_formula_sum 'Cd1 Sb2 Te1'
_cell_length_a 4.4031
_cell_length_b 4.4031
_cell_length_c 6.1175
_cell_angle_alpha 90.00
_cell_angle_beta 90.00
_cell_angle_gamma 90.00
_symmetry_space_group_name_H-M 'P 4 m m'
_symmetry_Int_Tables_number 99
loop_
_symmetry_equiv_pos_as_xyz
'x,y,z'
'-y,x,z'
'-x,-y,z'
'y,-x,z'
'-x,y,z'
'y,x,z'
'x,-y,z'
'-y,-x,z'
loop_
_atom_site_label
_atom_site_type_symbol
_atom_site_fract_x
_atom_site_fract_y
_atom_site_fract_z
_atom_site_occupancy
Cd1 Cd 0.0000 0.0000 0.0000 1
Sb1 Sb 0.0000 0.0000 0.5113 1
Sb2 Sb 0.5000 0.5000 0.4997 1
Te1 Te 0.5000 0.5000 0.0257 1
```

- spin magnetization (μB/cell) = 0.00
- mass density (g/cm³) = 6.77


ii:
VASP calculation (GGA-PBE) on a geometry-optimized CdSb2Te structure.

```
data_CdSb2Te
_chemical_formula_sum 'Cd4 Sb8 Te4'
_cell_length_a 6.4849
_cell_length_b 6.4849
_cell_length_c 14.8009
_cell_angle_alpha 90.00
_cell_angle_beta 90.00
_cell_angle_gamma 90.00
_symmetry_space_group_name_H-M 'I -4 2 d'
_symmetry_Int_Tables_number 122
_symmetry_space_group_name_Hall 'I -4 2bw'
loop_
_atom_site_label
_atom_site_type_symbol
_atom_site_fract_x
_atom_site_fract_y
_atom_site_fract_z
_atom_site_occupancy
Cd1 Cd 0.0000 0.0000 0.0000 1
Sb1 Sb 0.2313 0.2500 0.1250 1
Te1 Te 0.0000 0.0000 0.5000 1
```

- spin magnetization (μB/cell) = 0.00
- mass density (g/cm³) = 5.16


Short version: ii is the least stable of them.


i:
VASP calculation (GGA-PBE) on a geometry-optimized CdSb2Te structure.

```
data_CdSb2Te
_chemical_formula_sum 'Cd2 Sb4 Te2'
_cell_length_a 13.6974
_cell_length_b 4.0021
_cell_length_c 4.5319
_cell_angle_alpha 90.00
_cell_angle_beta 90.10
_cell_angle_gamma 90.00
_symmetry_space_group_name_H-M 'C 1 m 1'
_symmetry_Int_Tables_number 8
loop_
_symmetry_equiv_pos_as_xyz
'x,y,z'
'x,-y,z'
'x+1/2,y+1/2,z'
'x+1/2,-y+1/2,z'
loop_
_atom_site_label
_atom_site_type_symbol
_atom_site_fract_x
_atom_site_fract_y
_atom_site_fract_z
_atom_site_occupancy
Cd1 Cd 0.0000 0.0000 0.0000 1
Sb1 Sb 0.2843 0.5000 0.4937 1
Sb2 Sb 0.4518 0.0000 0.5000 1
Te1 Te 0.2116 0.0000 0.9960 1
```

- spin magnetization (μB/cell) = 0.00
- mass density (g/cm³) = 6.46


ii:
VASP calculation (GGA-PBE) on a geometry-optimized CdSb2Te structure.

```
data_CdSb2Te
_chemical_formula_sum 'Cd2 Sb4 Te2'
_cell_length_a 4.2239
_cell_length_b 4.3285
_cell_length_c 12.5925
_cell_angle_alpha 90.00
_cell_angle_beta 90.00
_cell_angle_gamma 90.00
_symmetry_space_group_name_H-M 'I m m m'
_symmetry_Int_Tables_number 71
_symmetry_space_group_name_Hall '-I 2 2'
loop_
_atom_site_label
_atom_site_type_symbol
_atom_site_fract_x
_atom_site_fract_y
_atom_site_fract_z
_atom_site_occupancy
Cd1 Cd 0.0000 0.0000 0.0000 1
Sb1 Sb 0.0000 0.5000 0.2935 1
Te1 Te 0.0000 0.0000 0.5000 1
```

- spin magnetization (μB/cell) = 0.00
- mass density (g/cm³) = 6.97


Short version: ii is the least stable of them.


i:
VASP calculation (GGA-PBE) on a geometry-optimized CdSb2Te structure.

```
data_CdSb2Te
_chemical_formula_sum 'Cd2 Sb4 Te2'
_cell_length_a 4.1297
_cell_length_b 4.1818
_cell_length_c 13.8242
_cell_angle_alpha 90.00
_cell_angle_beta 90.00
_cell_angle_gamma 90.00
_symmetry_space_group_name_H-M 'I m m 2'
_symmetry_Int_Tables_number 44
loop_
_symmetry_equiv_pos_as_xyz
'x,y,z'
'-x,-y,z'
'-x,y,z'
'x,-y,z'
'x+1/2,y+1/2,z+1/2'
'-x+1/2,-y+1/2,z+1/2'
'-x+1/2,y+1/2,z+1/2'
'x+1/2,-y+1/2,z+1/2'
loop_
_atom_site_label
_atom_site_type_symbol
_atom_site_fract_x
_atom_site_fract_y
_atom_site_fract_z
_atom_site_occupancy
Cd1 Cd 0.0000 0.0000 0.0000 1
Sb1 Sb 0.0000 0.0000 0.5732 1
Sb2 Sb 0.0000 0.5000 0.7314 1
Te1 Te 0.0000 0.5000 0.3314 1
```

- spin magnetization (μB/cell) = 0.00
- mass density (g/cm³) = 6.73


ii:
VASP calculation (GGA-PBE) on a geometry-optimized CdSb2Te structure.

```
data_CdSb2Te
_chemical_formula_sum 'Cd1 Sb2 Te1'
_cell_length_a 3.1634
_cell_length_b 6.1762
_cell_length_c 6.1963
_cell_angle_alpha 90.00
_cell_angle_beta 103.67
_cell_angle_gamma 90.00
_symmetry_space_group_name_H-M 'P 1 m 1'
_symmetry_Int_Tables_number 6
loop_
_symmetry_equiv_pos_as_xyz
'x,y,z'
'x,-y,z'
loop_
_atom_site_label
_atom_site_type_symbol
_atom_site_fract_x
_atom_site_fract_y
_atom_site_fract_z
_atom_site_occupancy
Cd1 Cd 0.0000 0.0000 0.0000 1
Sb1 Sb 0.2498 0.5000 0.5306 1
Sb2 Sb 0.2649 0.0000 0.5355 1
Te1 Te 0.0149 0.5000 0.0410 1
```

- spin magnetization (μB/cell) = 0.00
- mass density (g/cm³) = 6.83


iii:
VASP calculation (GGA-PBE) on a geometry-optimized CdSb2Te structure.

```
data_CdSb2Te
_chemical_formula_sum 'Cd4 Sb8 Te4'
_cell_length_a 7.5478
_cell_length_b 7.5478
_cell_length_c 7.5478
_cell_angle_alpha 90.00
_cell_angle_beta 90.00
_cell_angle_gamma 90.00
_symmetry_space_group_name_H-M 'F -4 3 m'
_symmetry_Int_Tables_number 216
_symmetry_space_group_name_Hall 'F -4 2 3'
loop_
_atom_site_label
_atom_site_type_symbol
_atom_site_fract_x
_atom_site_fract_y
_atom_site_fract_z
_atom_site_occupancy
Cd1 Cd 0.0000 0.0000 0.0000 1
Sb1 Sb 0.0000 0.0000 0.5000 1
Sb2 Sb 0.2500 0.2500 0.2500 1
Te1 Te 0.2500 0.2500 0.7500 1
```

- spin magnetization (μB/cell) = 0.00
- mass density (g/cm³) = 7.47


Short version: iii is the least stable of them.